Entry from Alexandria: Tl4CuAg3Br12 after structural relaxation (PBE-GGA).

abc: 9.2559 9.2559 9.2559
angles: 109.47 109.47 109.47
With the nearest neighbours (Å) after each atom.
Element x y z (fractional)
Tl  0.0000  0.0000  0.5000  12 Br 3.78
Tl  0.0000  0.5000  0.0000  12 Br 3.78
Tl  0.5000  0.0000  0.0000  12 Br 3.78
Tl  0.5000  0.5000  0.5000  12 Br 3.78
Cu  0.0000  0.0000  0.0000  6 Br 2.56
Ag  0.0000  0.5000  0.5000  6 Br 2.67-2.79
Ag  0.5000  0.0000  0.5000  6 Br 2.67-2.79
Ag  0.5000  0.5000  0.0000  6 Br 2.67-2.79
Br  0.0000  0.2391  0.2391  1 Cu 2.56, 1 Ag 2.79
Br  0.0000  0.7609  0.7609  1 Cu 2.56, 1 Ag 2.79
Br  0.2391  0.0000  0.2391  1 Cu 2.56, 1 Ag 2.79
Br  0.2391  0.2391  0.0000  1 Cu 2.56, 1 Ag 2.79
Br  0.2500  0.5000  0.7500  2 Ag 2.67
Br  0.2500  0.7500  0.5000  2 Ag 2.67
Br  0.5000  0.2500  0.7500  2 Ag 2.67
Br  0.5000  0.7500  0.2500  2 Ag 2.67
Br  0.7500  0.2500  0.5000  2 Ag 2.67
Br  0.7500  0.5000  0.2500  2 Ag 2.67
Br  0.7609  0.0000  0.7609  1 Cu 2.56, 1 Ag 2.79
Br  0.7609  0.7609  0.0000  1 Cu 2.56, 1 Ag 2.79

Output
- VASP energy: -51.61 eV for the cell shown
- Total magnetic moment: 0.0 μB per cell

Entry from Alexandria: TlCu2AgBr6 after structural relaxation (PBE-GGA).

abc: 9.4356 9.4356 7.0213
angles: 99.08 99.08 87.64
With the nearest neighbours (Å) after each atom.
Element x y z (fractional)
Tl  0.1008  0.8992  0.7500  6 Br 3.02-3.20
Tl  0.8992  0.1008  0.2500  6 Br 3.02-3.20
Cu  0.2323  0.3966  0.7166  4 Br 2.41-2.44
Cu  0.3966  0.2323  0.2166  4 Br 2.41-2.44
Cu  0.6034  0.7677  0.7834  4 Br 2.41-2.44
Cu  0.7677  0.6034  0.2834  4 Br 2.41-2.44
Ag  0.3110  0.6890  0.2500  4 Br 2.66-2.80
Ag  0.6890  0.3110  0.7500  4 Br 2.66-2.80
Br  0.0434  0.2197  0.6562  1 Cu 2.43
Br  0.1518  0.6125  0.9033  1 Cu 2.41, 1 Ag 2.66
Br  0.2197  0.0434  0.1562  1 Cu 2.43
Br  0.2845  0.4340  0.3982  2 Cu 2.42-2.44
Br  0.3875  0.8482  0.5967  1 Cu 2.41, 1 Ag 2.66
Br  0.4340  0.2845  0.8982  2 Cu 2.42-2.44
Br  0.5660  0.7155  0.1018  2 Cu 2.42-2.44
Br  0.6125  0.1518  0.4033  1 Cu 2.41, 1 Ag 2.66
Br  0.7155  0.5660  0.6018  2 Cu 2.42-2.44
Br  0.7803  0.9566  0.8438  1 Cu 2.43
Br  0.8482  0.3875  0.0967  1 Cu 2.41, 1 Ag 2.66
Br  0.9566  0.7803  0.3438  1 Cu 2.43

Output
- VASP energy: -54.50 eV for the cell shown
- Total magnetic moment: 0.0 μB per cell